{
  "formula": "TaB2Mo3C2",
  "functional": "PBE",
  "state": "optimized geometry",
  "lattice": [[8.927, 0.000, 0.000], [-8.377, 3.086, 0.000], [0.000, 0.000, 3.105]],
  "species": ["Mo", "Mo", "Mo", "B", "Ta", "B", "C", "C"],
  "fractional_positions": [[0.931, 0.069, 0.000], [0.683, 0.317, 0.000], [0.072, 0.928, 0.500], [0.471, 0.529, 0.500], [0.315, 0.685, 0.500], [0.528, 0.472, 0.000], [0.191, 0.809, 0.500], [0.808, 0.192, 0.000]],
  "vol_a3_per_atom": 10.69,
  "magnetic_moment_mub_per_atom": 0.000,
  "delta_e_f_ev_per_fu": -3.35,
  "sg": "Amm2"
}